1.
DFT (GGA-PBE) results for a relaxed structure of BaNbNi2.

The structure belongs to space group F-43m (No. 216); the cell edges are 6.549, 6.549 and 6.549 Å and the angles 90.00°, 90.00° and 90.00°. The inequivalent atoms are Ba at (0.000, 0.000, 0.000), Nb at (0.250, 0.250, 0.750), Ni at (0.000, 0.000, 0.500) and Ni at (0.250, 0.250, 0.250).

For the total energy, the calculation gives -79.40 eV/cell.



2.
DFT (GGA-PBE) results for a relaxed structure of BaTaCuNi.

The structure belongs to space group F-43m (No. 216); the cell edges are 6.881, 6.881 and 6.881 Å and the angles 90.00°, 90.00° and 90.00°. The inequivalent atoms are Ba at (0.000, 0.000, 0.000), Ta at (0.000, 0.000, 0.500), Cu at (0.250, 0.250, 0.750) and Ni at (0.250, 0.250, 0.250).

As for the distance to the lowest polymorph of the same formula: 0.0 meV/atom.



3.
DFT (GGA-PBE) results for a relaxed structure of SrCoCuGe2.

The structure belongs to space group I-4m2 (No. 119); the cell edges are 4.202, 4.202 and 10.392 Å and the angles 90.00°, 90.00° and 90.00°. The inequivalent atoms are Sr at (0.000, 0.000, 0.000), Co at (0.000, 0.500, 0.750), Cu at (0.000, 0.500, 0.250) and Ge at (0.000, 0.000, 0.366).

For the total energy, the calculation gives -46.86 eV/cell.



4.
DFT (GGA-PBE) results for a relaxed structure of Mg3Si2Ir.

The structure belongs to space group P-4m2 (No. 115); the cell edges are 4.334, 4.334 and 5.960 Å and the angles 90.00°, 90.00° and 90.00°. The inequivalent atoms are Mg at (0.000, 0.000, 0.000), Mg at (0.000, 0.000, 0.500), Mg at (0.500, 0.500, 0.000), Si at (0.000, 0.500, 0.282) and Ir at (0.500, 0.500, 0.500).

For the total energy, the calculation gives -25.12 eV/cell.